1.
DFT (PBE) results for a relaxed Mg12Tl2In5 crystal.

Lattice parameters (Å, degrees): 9.521 9.521 5.836 104.21 104.21 64.37
Fractional coordinates of all 19 atoms:
1 Mg 0.042 0.561 0.793
2 Mg 0.059 0.059 0.301
3 Mg 0.148 0.651 0.376
4 Mg 0.349 0.852 0.624
5 Mg 0.396 0.396 0.985
6 Mg 0.439 0.958 0.207
7 Mg 0.561 0.042 0.793
8 Mg 0.604 0.604 0.015
9 Mg 0.651 0.148 0.376
10 Mg 0.852 0.349 0.624
11 Mg 0.941 0.941 0.699
12 Mg 0.958 0.439 0.207
13 Tl 0.247 0.753 0.000
14 Tl 0.753 0.247 0.000
15 In 0.191 0.191 0.854
16 In 0.293 0.293 0.445
17 In 0.500 0.500 0.500
18 In 0.707 0.707 0.555
19 In 0.809 0.809 0.146

Values from the calculation:
Electronic total energy, eV for the cell shown: -38.12
Energy of formation from the pure elements, eV/atom: -0.029
Crystal system: monoclinic

***

2.
DFT (PBE) results for a relaxed Pm2Nd6DyTh crystal.

Lattice parameters (Å, degrees): 8.885 8.885 9.999 95.00 95.00 116.95
Fractional coordinates of all 20 atoms:
1 Pm 0.195 0.286 0.046
2 Pm 0.286 0.195 0.546
3 Pm 0.714 0.805 0.454
4 Pm 0.805 0.714 0.954
5 Nd 0.013 0.578 0.188
6 Nd 0.111 0.748 0.556
7 Nd 0.252 0.889 0.944
8 Nd 0.299 0.506 0.380
9 Nd 0.422 0.987 0.312
10 Nd 0.494 0.701 0.120
11 Nd 0.506 0.299 0.880
12 Nd 0.578 0.013 0.688
13 Nd 0.701 0.494 0.620
14 Nd 0.748 0.111 0.056
15 Nd 0.889 0.252 0.444
16 Nd 0.987 0.422 0.812
17 Dy 0.407 0.593 0.750
18 Dy 0.593 0.407 0.250
19 Th 0.020 0.980 0.250
20 Th 0.980 0.020 0.750

Values from the calculation:
Electronic total energy, eV for the cell shown: -97.40
Energy of formation from the pure elements, eV/atom: 0.143
Crystal system: monoclinic

***

3.
DFT (PBE) results for a relaxed SrNCl2 crystal.

Lattice parameters (Å, degrees): 6.799 6.799 14.839 90.00 90.00 90.00
Fractional coordinates of all 16 atoms:
1 Sr 0.000 0.000 0.000
2 Sr 0.000 0.500 0.250
3 Sr 0.500 0.000 0.750
4 Sr 0.500 0.500 0.500
5 N 0.000 0.000 0.500
6 N 0.000 0.500 0.750
7 N 0.500 0.000 0.250
8 N 0.500 0.500 0.000
9 Cl 0.176 0.250 0.125
10 Cl 0.250 0.676 0.375
11 Cl 0.250 0.824 0.875
12 Cl 0.324 0.250 0.625
13 Cl 0.676 0.750 0.625
14 Cl 0.750 0.176 0.875
15 Cl 0.750 0.324 0.375
16 Cl 0.824 0.750 0.125

Values from the calculation:
Electronic total energy, eV for the cell shown: -61.14
ΔE_f (raw), eV/atom: -0.40
Crystal system: tetragonal

***

4.
DFT (PBE) results for a relaxed PaAs6Pd12 crystal.

Lattice parameters (Å, degrees): 7.431 7.431 7.431 106.90 106.90 106.90
Fractional coordinates of all 19 atoms:
1 Pa 0.000 0.000 0.000
2 As 0.256 0.256 0.665
3 As 0.256 0.665 0.256
4 As 0.335 0.744 0.744
5 As 0.665 0.256 0.256
6 As 0.744 0.335 0.744
7 As 0.744 0.744 0.335
8 Pd 0.112 0.348 0.348
9 Pd 0.128 0.500 0.872
10 Pd 0.128 0.872 0.500
11 Pd 0.348 0.112 0.348
12 Pd 0.348 0.348 0.112
13 Pd 0.500 0.128 0.872
14 Pd 0.500 0.872 0.128
15 Pd 0.652 0.652 0.888
16 Pd 0.652 0.888 0.652
17 Pd 0.872 0.128 0.500
18 Pd 0.872 0.500 0.128
19 Pd 0.888 0.652 0.652

Values from the calculation:
Electronic total energy, eV for the cell shown: -105.48
Energy of formation from the pure elements, eV/atom: -0.304
Crystal system: trigonal

***

5.
DFT (PBE) results for a relaxed NaLi2PRh crystal.

Lattice parameters (Å, degrees): 4.691 4.691 4.417 90.00 90.00 90.00
Fractional coordinates of all 5 atoms:
1 Na 0.000 0.000 0.000
2 Li 0.000 0.500 0.500
3 Li 0.500 0.000 0.500
4 P 0.500 0.500 0.500
5 Rh 0.500 0.500 0.000

Values from the calculation:
Electronic total energy, eV for the cell shown: -19.59
Energy of formation from the pure elements, eV/atom: -0.337
Crystal system: tetragonal

***

6.
DFT (PBE) results for a relaxed Tm2MgCo crystal.

Lattice parameters (Å, degrees): 3.697 3.697 25.575 90.00 90.00 120.00
Fractional coordinates of all 12 atoms:
1 Tm 0.000 0.000 0.000
2 Tm 0.000 0.000 0.215
3 Tm 0.333 0.667 0.667
4 Tm 0.333 0.667 0.882
5 Tm 0.667 0.333 0.333
6 Tm 0.667 0.333 0.549
7 Mg 0.000 0.000 0.442
8 Mg 0.333 0.667 0.108
9 Mg 0.667 0.333 0.775
10 Co 0.000 0.000 0.607
11 Co 0.333 0.667 0.274
12 Co 0.667 0.333 0.941

Values from the calculation:
Electronic total energy, eV for the cell shown: -53.35
Energy of formation from the pure elements, eV/atom: -0.035
Crystal system: trigonal

***

7.
DFT (PBE) results for a relaxed CsLaEr4S8 crystal.

Lattice parameters (Å, degrees): 8.507 8.507 8.507 57.81 57.81 57.81
Fractional coordinates of all 14 atoms:
1 Cs 0.000 0.000 0.000
2 La 0.639 0.639 0.639
3 Er 0.122 0.637 0.637
4 Er 0.259 0.259 0.259
5 Er 0.637 0.122 0.637
6 Er 0.637 0.637 0.122
7 S 0.385 0.385 0.868
8 S 0.385 0.868 0.385
9 S 0.390 0.390 0.390
10 S 0.445 0.873 0.873
11 S 0.859 0.859 0.859
12 S 0.868 0.385 0.385
13 S 0.873 0.445 0.873
14 S 0.873 0.873 0.445

Values from the calculation:
Electronic total energy, eV for the cell shown: -83.28
ΔE_f (raw), eV/atom: -1.87
Crystal system: trigonal

***

8.
DFT (PBE) results for a relaxed PaGePt3 crystal.

Lattice parameters (Å, degrees): 8.320 8.320 8.320 38.87 38.87 38.87
Fractional coordinates of all 10 atoms:
1 Pa 0.205 0.205 0.205
2 Pa 0.795 0.795 0.795
3 Ge 0.335 0.335 0.335
4 Ge 0.665 0.665 0.665
5 Pt 0.239 0.744 0.744
6 Pt 0.256 0.256 0.761
7 Pt 0.256 0.761 0.256
8 Pt 0.744 0.239 0.744
9 Pt 0.744 0.744 0.239
10 Pt 0.761 0.256 0.256

Values from the calculation:
Electronic total energy, eV for the cell shown: -70.12
Energy of formation from the pure elements, eV/atom: -0.565
Crystal system: trigonal

***

9.
DFT (PBE) results for a relaxed SrAc12Pb6 crystal.

Lattice parameters (Å, degrees): 9.858 9.858 9.858 103.50 103.50 103.50
Fractional coordinates of all 19 atoms:
1 Sr 0.000 0.000 0.000
2 Ac 0.126 0.500 0.874
3 Ac 0.126 0.874 0.500
4 Ac 0.175 0.447 0.447
5 Ac 0.447 0.175 0.447
6 Ac 0.447 0.447 0.175
7 Ac 0.500 0.126 0.874
8 Ac 0.500 0.874 0.126
9 Ac 0.553 0.553 0.825
10 Ac 0.553 0.825 0.553
11 Ac 0.825 0.553 0.553
12 Ac 0.874 0.126 0.500
13 Ac 0.874 0.500 0.126
14 Pb 0.244 0.244 0.693
15 Pb 0.244 0.693 0.244
16 Pb 0.307 0.756 0.756
17 Pb 0.693 0.244 0.244
18 Pb 0.756 0.307 0.756
19 Pb 0.756 0.756 0.307

Values from the calculation:
Electronic total energy, eV for the cell shown: -77.61
Energy of formation from the pure elements, eV/atom: -0.230
Crystal system: trigonal

***

10.
DFT (PBE) results for a relaxed Li2Cl crystal.

Lattice parameters (Å, degrees): 4.286 4.286 3.225 90.00 90.00 90.00
Fractional coordinates of all 3 atoms:
1 Li 0.000 0.500 0.000
2 Li 0.500 0.000 0.000
3 Cl 0.000 0.000 0.500

Values from the calculation:
Electronic total energy, eV for the cell shown: -8.27
ΔE_f (raw), eV/atom: -0.87
Crystal system: tetragonal

***

11.
DFT (PBE) results for a relaxed Ca2Y2Ag3 crystal.

Lattice parameters (Å, degrees): 8.862 8.862 8.862 33.97 33.97 33.97
Fractional coordinates of all 7 atoms:
1 Ca 0.123 0.123 0.123
2 Ca 0.877 0.877 0.877
3 Y 0.374 0.374 0.374
4 Y 0.626 0.626 0.626
5 Ag 0.255 0.255 0.255
6 Ag 0.500 0.500 0.500
7 Ag 0.745 0.745 0.745

Values from the calculation:
Electronic total energy, eV for the cell shown: -26.72
Energy of formation from the pure elements, eV/atom: -0.177
Crystal system: trigonal

***

12.
DFT (PBE) results for a relaxed Li2TaS4 crystal.

Lattice parameters (Å, degrees): 4.847 4.847 12.725 90.00 90.00 90.00
Fractional coordinates of all 14 atoms:
1 Li 0.000 0.000 0.127
2 Li 0.000 0.000 0.873
3 Li 0.500 0.500 0.373
4 Li 0.500 0.500 0.627
5 Ta 0.000 0.000 0.500
6 Ta 0.500 0.500 0.000
7 S 0.000 0.000 0.313
8 S 0.000 0.000 0.687
9 S 0.000 0.500 0.000
10 S 0.000 0.500 0.500
11 S 0.500 0.000 0.000
12 S 0.500 0.000 0.500
13 S 0.500 0.500 0.187
14 S 0.500 0.500 0.813

Values from the calculation:
Electronic total energy, eV for the cell shown: -74.46
ΔE_f (raw), eV/atom: -0.72
Crystal system: tetragonal

***

13.
DFT (PBE) results for a relaxed K2SrSc crystal.

Lattice parameters (Å, degrees): 4.090 6.536 14.387 90.00 90.00 90.00
Fractional coordinates of all 8 atoms:
1 K 0.000 0.000 0.230
2 K 0.000 0.000 0.770
3 K 0.500 0.500 0.230
4 K 0.500 0.500 0.770
5 Sr 0.000 0.500 0.500
6 Sr 0.500 0.000 0.500
7 Sc 0.000 0.500 0.000
8 Sc 0.500 0.000 0.000

Values from the calculation:
Electronic total energy, eV for the cell shown: -16.49
Energy of formation from the pure elements, eV/atom: 0.491
Crystal system: orthorhombic

***

14.
DFT (PBE) results for a relaxed ThIn6Cl12 crystal.

Lattice parameters (Å, degrees): 8.745 8.745 8.745 99.31 99.31 99.31
Fractional coordinates of all 19 atoms:
1 Th 0.000 0.000 0.000
2 In 0.155 0.335 0.612
3 In 0.335 0.612 0.155
4 In 0.388 0.845 0.665
5 In 0.612 0.155 0.335
6 In 0.665 0.388 0.845
7 In 0.845 0.665 0.388
8 Cl 0.027 0.914 0.697
9 Cl 0.086 0.303 0.973
10 Cl 0.179 0.567 0.418
11 Cl 0.303 0.973 0.086
12 Cl 0.418 0.179 0.567
13 Cl 0.433 0.582 0.821
14 Cl 0.567 0.418 0.179
15 Cl 0.582 0.821 0.433
16 Cl 0.697 0.027 0.914
17 Cl 0.821 0.433 0.582
18 Cl 0.914 0.697 0.027
19 Cl 0.973 0.086 0.303

Values from the calculation:
Electronic total energy, eV for the cell shown: -67.60
ΔE_f (raw), eV/atom: -1.14
Crystal system: trigonal

***

15.
DFT (PBE) results for a relaxed Mg2AgTe2 crystal.

Lattice parameters (Å, degrees): 8.036 8.036 3.966 90.00 90.00 90.00
Fractional coordinates of all 10 atoms:
1 Mg 0.140 0.360 0.000
2 Mg 0.360 0.860 0.000
3 Mg 0.640 0.140 0.000
4 Mg 0.860 0.640 0.000
5 Ag 0.000 0.000 0.500
6 Ag 0.500 0.500 0.500
7 Te 0.171 0.671 0.500
8 Te 0.329 0.171 0.500
9 Te 0.671 0.829 0.500
10 Te 0.829 0.329 0.500

Values from the calculation:
Electronic total energy, eV for the cell shown: -27.69
ΔE_f (raw), eV/atom: -0.30
Crystal system: tetragonal

***

16.
DFT (PBE) results for a relaxed RbY2Pd crystal.

Lattice parameters (Å, degrees): 7.573 7.573 7.573 90.00 90.00 90.00
Fractional coordinates of all 16 atoms:
1 Rb 0.000 0.000 0.000
2 Rb 0.000 0.500 0.500
3 Rb 0.500 0.000 0.500
4 Rb 0.500 0.500 0.000
5 Y 0.250 0.250 0.250
6 Y 0.250 0.250 0.750
7 Y 0.250 0.750 0.250
8 Y 0.250 0.750 0.750
9 Y 0.750 0.250 0.250
10 Y 0.750 0.250 0.750
11 Y 0.750 0.750 0.250
12 Y 0.750 0.750 0.750
13 Pd 0.000 0.000 0.500
14 Pd 0.000 0.500 0.000
15 Pd 0.500 0.000 0.000
16 Pd 0.500 0.500 0.500

Values from the calculation:
Electronic total energy, eV for the cell shown: -71.91
Energy of formation from the pure elements, eV/atom: 0.278
Crystal system: cubic

***

17.
DFT (PBE) results for a relaxed CsNdMg2Cl8 crystal.

Lattice parameters (Å, degrees): 6.700 6.864 9.562 72.00 74.16 72.82
Fractional coordinates of all 12 atoms:
1 Cs 0.000 0.000 0.000
2 Nd 0.000 0.000 0.500
3 Mg 0.465 0.454 0.205
4 Mg 0.535 0.546 0.795
5 Cl 0.182 0.704 0.733
6 Cl 0.255 0.769 0.298
7 Cl 0.292 0.235 0.439
8 Cl 0.396 0.298 0.034
9 Cl 0.604 0.702 0.966
10 Cl 0.708 0.765 0.561
11 Cl 0.745 0.231 0.702
12 Cl 0.818 0.296 0.267

Values from the calculation:
Electronic total energy, eV for the cell shown: -47.28
ΔE_f (raw), eV/atom: -1.97
Crystal system: triclinic

***

18.
DFT (PBE) results for a relaxed Th4RuSe2S crystal.

Lattice parameters (Å, degrees): 7.254 4.058 7.435 90.00 108.76 90.00
Fractional coordinates of all 8 atoms:
1 Th 0.230 0.000 0.223
2 Th 0.255 0.500 0.768
3 Th 0.745 0.500 0.232
4 Th 0.770 0.000 0.777
5 Ru 0.000 0.500 0.000
6 Se 0.000 0.000 0.500
7 Se 0.500 0.500 0.500
8 S 0.500 0.000 0.000

Values from the calculation:
Electronic total energy, eV for the cell shown: -61.04
ΔE_f (raw), eV/atom: -1.37
Crystal system: monoclinic

***

19.
DFT (PBE) results for a relaxed BaZnRu2 crystal.

Lattice parameters (Å, degrees): 4.608 4.608 18.296 90.00 90.00 90.00
Fractional coordinates of all 16 atoms:
1 Ba 0.000 0.000 0.000
2 Ba 0.000 0.500 0.250
3 Ba 0.500 0.000 0.750
4 Ba 0.500 0.500 0.500
5 Zn 0.000 0.000 0.500
6 Zn 0.000 0.500 0.750
7 Zn 0.500 0.000 0.250
8 Zn 0.500 0.500 0.000
9 Ru 0.090 0.250 0.625
10 Ru 0.250 0.590 0.875
11 Ru 0.250 0.910 0.375
12 Ru 0.410 0.250 0.125
13 Ru 0.590 0.750 0.125
14 Ru 0.750 0.090 0.375
15 Ru 0.750 0.410 0.875
16 Ru 0.910 0.750 0.625

Values from the calculation:
Electronic total energy, eV for the cell shown: -78.40
Energy of formation from the pure elements, eV/atom: 0.537
Crystal system: tetragonal

***

20.
DFT (PBE) results for a relaxed Sc8Tl2Cd crystal.

Lattice parameters (Å, degrees): 8.178 8.178 5.197 103.24 103.24 119.66
Fractional coordinates of all 11 atoms:
1 Sc 0.103 0.327 0.633
2 Sc 0.211 0.789 0.000
3 Sc 0.327 0.103 0.633
4 Sc 0.405 0.405 0.202
5 Sc 0.595 0.595 0.798
6 Sc 0.673 0.897 0.367
7 Sc 0.789 0.211 0.000
8 Sc 0.897 0.673 0.367
9 Tl 0.304 0.696 0.500
10 Tl 0.696 0.304 0.500
11 Cd 0.000 0.000 0.000

Values from the calculation:
Electronic total energy, eV for the cell shown: -56.78
Energy of formation from the pure elements, eV/atom: -0.044
Crystal system: monoclinic